(1)
The following is a DFT calculation (GGA-PBE) of a relaxed structure of DyAl2ZnCu2.

Geometry as POSCAR:
```
DyAl2ZnCu2
1.0
4.4297 0.0000 0.0000
0.0000 4.4297 0.0000
0.0000 0.0000 5.5550
Dy Al Zn Cu
1 2 1 2
Cartesian
0.0000 0.0000 0.0000
2.2148 2.2148 1.3307
2.2148 2.2148 4.2243
0.0000 0.0000 2.7775
0.0000 2.2148 2.7775
2.2148 0.0000 2.7775
```

Results
N(E_F) ... 0.3845 states/eV per atom
Calculated total energy ... -3.6593 eV/atom
Calculated formation energy ... -0.067 eV/atom

(2)
The following is a DFT calculation (GGA-PBE) of a relaxed structure of NiRhAu2.

Geometry as POSCAR:
```
NiRhAu2
1.0
1.4028 0.8099 9.1794
-1.4028 0.8099 9.1794
0.0000 -1.6198 9.1794
Ni Rh Au
1 1 2
Cartesian
0.0000 0.0000 0.0000
0.0000 0.0000 20.3269
0.0000 0.0000 6.9863
0.0000 0.0000 13.5580
```

Results
N(E_F) ... 0.8690 states/eV per atom
Calculated total energy ... -4.7867 eV/atom
Calculated formation energy ... 0.135 eV/atom
Excess energy over the best structure of this formula in the dataset ... 50 meV per atom

(3)
The following is a DFT calculation (GGA-PBE) of a relaxed structure of TaOs2Pt.

Geometry as POSCAR:
```
TaOs2Pt
1.0
4.5969 -1.4050 0.0000
4.5969 1.4050 0.0000
-0.8853 0.0000 4.7983
Ta Os Pt
1 2 1
Cartesian
0.0000 0.0000 0.0000
1.6639 0.0000 3.5354
6.6446 0.0000 1.2628
4.1542 0.0000 2.3991
```

Results
N(E_F) ... 0.7458 states/eV per atom
Calculated total energy ... -10.2180 eV/atom
Calculated formation energy ... -0.130 eV/atom
Excess energy over the best structure of this formula in the dataset ... 232 meV per atom

(4)
The following is a DFT calculation (GGA-PBE) of a relaxed structure of SrLiInPt.

Geometry as POSCAR:
```
SrLiInPt
1.0
0.0000 3.5392 3.5392
3.5392 0.0000 3.5392
3.5392 3.5392 0.0000
Sr Li In Pt
1 1 1 1
Cartesian
0.0000 0.0000 0.0000
1.7696 1.7696 1.7696
3.5392 3.5392 3.5392
5.3087 5.3087 5.3087
```

Results
N(E_F) ... 0.7184 states/eV per atom
Calculated total energy ... -3.5699 eV/atom
Calculated formation energy ... -0.476 eV/atom
Excess energy over the best structure of this formula in the dataset ... 133 meV per atom

Number 1 is which compound?
DyAl2ZnCu2

Which value of calculated total energy does entry 1 give?
-3.6593 eV/atom

Which of these has the lowest calculated total energy?
TaOs2Pt

Which formula does entry 4 have?
SrLiInPt